[1]
This record from Alexandria via LeMat-Bulk describes crystalline Cu7PtAu2 at its relaxed geometry. The functional is PBE.

a = 6.6769 Å, b = 13.3626 Å, c = 3.8833 Å
α = 90.00°, β = 90.00°, γ = 90.00°
Space group Cmmm (No. 65)
Unique sites:
1 Cu 0.0000 0.0000 0.0000 x2
2 Cu 0.0000 0.3145 0.5000 x4
3 Cu 0.1813 0.4034 0.0000 x8
4 Pt 0.0000 0.5000 0.5000 x2
5 Au 0.0000 0.1970 0.0000 x4

Properties
- energy of formation (eV per atom) = 0.300
- DFT total energy (eV per atom) = -3.83

***

[2]
This record from Alexandria via LeMat-Bulk describes crystalline Cs2Mn3NiCl12 at its relaxed geometry. The functional is PBE.

a = 9.0356 Å, b = 9.0356 Å, c = 21.5550 Å
α = 90.00°, β = 90.00°, γ = 120.00°
Space group R-3m (No. 166, hexagonal axes)
Unique sites:
1 Cs 0.0000 0.0000 0.1321 x6
2 Mn 0.0000 0.5000 0.0000 x9
3 Ni 0.0000 0.0000 0.5000 x3
4 Cl 0.0714 0.5357 0.3601 x18
5 Cl 0.0755 0.5377 0.1084 x18

Properties
- DFT total energy (eV per atom) = -4.32